GGA-PBEsol HfSbP2C, optimized geometry; formation energy without anion corrections = 897 meV per atom; symmetry = No. 123; crystal system = tetragonal; electronic total energy = -31.8 eV/f.u.
1.0
4.9860 0.0000 0.0000
0.0000 4.9860 0.0000
0.0000 0.0000 4.1688
Hf Sb P C
1 1 2 1
direct
0.0000 0.0000 0.0000
0.5000 0.5000 0.5000
0.0000 0.5000 0.0000
0.5000 0.0000 0.0000
0.0000 0.0000 0.5000